1.
# Li2Mn3CrO8 PBE+U optimized geometry
# DOS(E_F)	0.1	states/eV/cell
# symmetry	P-1
# V	150	Å³/cell
# spin magnetization	13.00	μB/cell
# electronic total energy	-6.9129	eV/atom
data_Li2Mn3CrO8
_chemical_formula_sum 'Li2 Mn3 Cr1 O8'
_space_group_name_H-M_alt 'P 1'
_space_group_IT_number 1
_space_group_name_Hall 'P 1'
_cell_length_a 5.8139
_cell_length_b 5.9531
_cell_length_c 5.9574
_cell_angle_alpha 119.00
_cell_angle_beta 118.92
_cell_angle_gamma 90.05
loop_
_atom_site_label
_atom_site_type_symbol
_atom_site_fract_x
_atom_site_fract_y
_atom_site_fract_z
_atom_site_occupancy
Li1 Li 0.0000 0.0000 0.0000 1
Li2 Li 0.5000 0.0000 0.5000 1
Mn1 Mn 0.0000 0.5000 0.0000 1
Mn2 Mn 0.0000 0.5000 0.5000 1
Mn3 Mn 0.5000 0.5000 0.0000 1
Cr1 Cr 0.5000 0.5000 0.5000 1
O1 O 0.2174 0.6942 0.4452 1
O2 O 0.2541 0.7258 0.0161 1
O3 O 0.2636 0.2968 0.0333 1
O4 O 0.2714 0.2976 0.5468 1
O5 O 0.7286 0.7024 0.4532 1
O6 O 0.7364 0.7032 0.9667 1
O7 O 0.7459 0.2742 0.9839 1
O8 O 0.7826 0.3058 0.5548 1



2.
# Li32Mn13Cr3O48 PBE+U optimized geometry
# symmetry	P1
# V	834	Å³/cell
# spin magnetization	18.86	μB/cell
# electronic total energy	-6.1847	eV/atom
data_Li32Mn13Cr3O48
_chemical_formula_sum 'Li32 Mn13 Cr3 O48'
_space_group_name_H-M_alt 'P 1'
_space_group_IT_number 1
_space_group_name_Hall 'P 1'
_cell_length_a 5.0021
_cell_length_b 8.6821
_cell_length_c 19.4717
_cell_angle_alpha 81.94
_cell_angle_beta 85.28
_cell_angle_gamma 89.72
loop_
_atom_site_label
_atom_site_type_symbol
_atom_site_fract_x
_atom_site_fract_y
_atom_site_fract_z
_atom_site_occupancy
Li1 Li 0.0000 0.0000 0.0000 1
Li2 Li 0.0006 0.6742 0.9991 1
Li3 Li 0.0097 0.0027 0.5000 1
Li4 Li 0.1197 0.7997 0.1235 1
Li5 Li 0.1225 0.7987 0.6243 1
Li6 Li 0.2358 0.5905 0.2499 1
Li7 Li 0.2395 0.5919 0.7493 1
Li8 Li 0.2463 0.9240 0.7483 1
Li9 Li 0.2503 0.9246 0.2493 1
Li10 Li 0.2541 0.2546 0.2488 1
Li11 Li 0.2619 0.2595 0.7476 1
Li12 Li 0.3692 0.0500 0.3732 1
Li13 Li 0.3780 0.0485 0.8742 1
Li14 Li 0.4845 0.8386 0.5001 1
Li15 Li 0.4970 0.8489 0.9971 1
Li16 Li 0.4981 0.1744 0.9981 1
Li17 Li 0.5002 0.1751 0.4998 1
Li18 Li 0.5079 0.5066 0.4985 1
Li19 Li 0.5087 0.5034 0.9978 1
Li20 Li 0.6208 0.2992 0.1241 1
Li21 Li 0.6231 0.2996 0.6236 1
Li22 Li 0.7375 0.0949 0.7481 1
Li23 Li 0.7424 0.4245 0.2485 1
Li24 Li 0.7438 0.0964 0.2479 1
Li25 Li 0.7526 0.4247 0.7488 1
Li26 Li 0.7562 0.7552 0.7486 1
Li27 Li 0.7613 0.7523 0.2489 1
Li28 Li 0.8718 0.5488 0.3746 1
Li29 Li 0.8760 0.5494 0.8732 1
Li30 Li 0.9880 0.3454 0.9994 1
Li31 Li 0.9898 0.3429 0.4992 1
Li32 Li 0.9948 0.6737 0.4990 1
Mn1 Mn 0.1207 0.4638 0.1248 1
Mn2 Mn 0.1222 0.1328 0.6239 1
Mn3 Mn 0.1231 0.1326 0.1238 1
Mn4 Mn 0.1237 0.4658 0.6237 1
Mn5 Mn 0.3714 0.7133 0.3748 1
Mn6 Mn 0.3735 0.3821 0.3742 1
Mn7 Mn 0.3742 0.7165 0.8736 1
Mn8 Mn 0.3763 0.3852 0.8728 1
Mn9 Mn 0.6222 0.6326 0.6239 1
Mn10 Mn 0.6236 0.9655 0.6238 1
Mn11 Mn 0.6258 0.9670 0.1230 1
Mn12 Mn 0.8710 0.8807 0.8746 1
Mn13 Mn 0.8767 0.2170 0.3732 1
Cr1 Cr 0.6152 0.6336 0.1236 1
Cr2 Cr 0.8656 0.8837 0.3739 1
Cr3 Cr 0.8823 0.2141 0.8737 1
O1 O 0.0284 0.0673 0.8183 1
O2 O 0.0359 0.0708 0.3168 1
O3 O 0.0698 0.3893 0.3183 1
O4 O 0.0710 0.7471 0.3170 1
O5 O 0.0711 0.7478 0.8171 1
O6 O 0.0770 0.3917 0.8167 1
O7 O 0.1755 0.8525 0.9305 1
O8 O 0.1756 0.2127 0.9295 1
O9 O 0.1760 0.8505 0.4308 1
O10 O 0.1784 0.2094 0.4297 1
O11 O 0.2101 0.5303 0.4300 1
O12 O 0.2139 0.5322 0.9294 1
O13 O 0.2827 0.3167 0.0680 1
O14 O 0.2838 0.3167 0.5679 1
O15 O 0.3189 0.6385 0.5681 1
O16 O 0.3204 0.6360 0.0680 1
O17 O 0.3204 0.9962 0.5668 1
O18 O 0.3212 0.9964 0.0668 1
O19 O 0.4207 0.4573 0.1807 1
O20 O 0.4255 0.1017 0.1808 1
O21 O 0.4255 0.1021 0.6809 1
O22 O 0.4271 0.4600 0.6796 1
O23 O 0.4622 0.7817 0.6798 1
O24 O 0.4684 0.7808 0.1798 1
O25 O 0.5340 0.5662 0.3183 1
O26 O 0.5376 0.5684 0.8176 1
O27 O 0.5710 0.2458 0.3172 1
O28 O 0.5707 0.8889 0.8182 1
O29 O 0.5719 0.2479 0.8167 1
O30 O 0.5721 0.8857 0.3180 1
O31 O 0.6704 0.7066 0.4309 1
O32 O 0.6761 0.3512 0.4310 1
O33 O 0.6767 0.3514 0.9305 1
O34 O 0.6783 0.7100 0.9294 1
O35 O 0.7115 0.0272 0.9304 1
O36 O 0.7196 0.0300 0.4294 1
O37 O 0.7837 0.8169 0.5678 1
O38 O 0.7856 0.8204 0.0669 1
O39 O 0.8196 0.1383 0.5678 1
O40 O 0.8200 0.1393 0.0677 1
O41 O 0.8202 0.4961 0.5669 1
O42 O 0.8206 0.4978 0.0668 1
O43 O 0.9255 0.6007 0.1811 1
O44 O 0.9258 0.6023 0.6807 1
O45 O 0.9263 0.9601 0.6798 1
O46 O 0.9272 0.9599 0.1796 1
O47 O 0.9594 0.2805 0.1797 1
O48 O 0.9624 0.2816 0.6798 1



3.
# Li24Mn7Cr5O36 PBE+U optimized geometry
# symmetry	P1
# V	628	Å³/cell
# spin magnetization	18.98	μB/cell
# electronic total energy	-6.1819	eV/atom
data_Li24Mn7Cr5O36
_chemical_formula_sum 'Li24 Mn7 Cr5 O36'
_space_group_name_H-M_alt 'P 1'
_space_group_IT_number 1
_space_group_name_Hall 'P 1'
_cell_length_a 5.0027
_cell_length_b 9.7324
_cell_length_c 13.2728
_cell_angle_alpha 96.95
_cell_angle_beta 100.35
_cell_angle_gamma 94.62
loop_
_atom_site_label
_atom_site_type_symbol
_atom_site_fract_x
_atom_site_fract_y
_atom_site_fract_z
_atom_site_occupancy
Li1 Li 0.0000 0.0000 0.0000 1
Li2 Li 0.0016 0.5010 0.4986 1
Li3 Li 0.0426 0.2508 0.3639 1
Li4 Li 0.0443 0.7519 0.8638 1
Li5 Li 0.0897 0.9987 0.2233 1
Li6 Li 0.0948 0.5015 0.7260 1
Li7 Li 0.2122 0.0004 0.4469 1
Li8 Li 0.2154 0.5005 0.9473 1
Li9 Li 0.3331 0.5022 0.1665 1
Li10 Li 0.3361 0.0010 0.6663 1
Li11 Li 0.3755 0.7509 0.5306 1
Li12 Li 0.3761 0.2511 0.0312 1
Li13 Li 0.4281 0.5006 0.3923 1
Li14 Li 0.4293 0.0019 0.8922 1
Li15 Li 0.5446 0.0011 0.1137 1
Li16 Li 0.5452 0.5020 0.6134 1
Li17 Li 0.6683 0.4998 0.8307 1
Li18 Li 0.6733 0.0023 0.3338 1
Li19 Li 0.7098 0.2505 0.6977 1
Li20 Li 0.7119 0.7500 0.1968 1
Li21 Li 0.7632 0.0013 0.5603 1
Li22 Li 0.7683 0.5024 0.0622 1
Li23 Li 0.8752 0.5009 0.2807 1
Li24 Li 0.8781 0.0011 0.7806 1
Mn1 Mn 0.1588 0.7508 0.0854 1
Mn2 Mn 0.2661 0.7491 0.3060 1
Mn3 Mn 0.2707 0.2515 0.8075 1
Mn4 Mn 0.6038 0.2509 0.4738 1
Mn5 Mn 0.6074 0.7526 0.9751 1
Mn6 Mn 0.9376 0.2508 0.1410 1
Mn7 Mn 0.9380 0.7512 0.6404 1
Cr1 Cr 0.1534 0.2513 0.5869 1
Cr2 Cr 0.4849 0.2507 0.2528 1
Cr3 Cr 0.4868 0.7510 0.7534 1
Cr4 Cr 0.8164 0.7514 0.4197 1
Cr5 Cr 0.8201 0.2514 0.9206 1
O1 O 0.0448 0.6391 0.1841 1
O2 O 0.0488 0.8639 0.5443 1
O3 O 0.0504 0.1396 0.6847 1
O4 O 0.0496 0.3640 0.0448 1
O5 O 0.1162 0.6369 0.3976 1
O6 O 0.1175 0.1379 0.8981 1
O7 O 0.1905 0.3617 0.2546 1
O8 O 0.1920 0.8619 0.7546 1
O9 O 0.2301 0.1375 0.1349 1
O10 O 0.2317 0.6384 0.6353 1
O11 O 0.3112 0.8650 0.9943 1
O12 O 0.3119 0.3650 0.4949 1
O13 O 0.3792 0.8623 0.2075 1
O14 O 0.3842 0.3651 0.7108 1
O15 O 0.3850 0.1394 0.3506 1
O16 O 0.3884 0.6401 0.8514 1
O17 O 0.4501 0.1370 0.5644 1
O18 O 0.4518 0.6370 0.0649 1
O19 O 0.5226 0.8622 0.4205 1
O20 O 0.5262 0.3633 0.9219 1
O21 O 0.5644 0.6372 0.3020 1
O22 O 0.5656 0.1376 0.8018 1
O23 O 0.6455 0.3638 0.1615 1
O24 O 0.6460 0.8647 0.6615 1
O25 O 0.7171 0.1403 0.0179 1
O26 O 0.7168 0.3644 0.3770 1
O27 O 0.7184 0.6402 0.5180 1
O28 O 0.7182 0.8653 0.8775 1
O29 O 0.7839 0.1366 0.2305 1
O30 O 0.7858 0.6374 0.7311 1
O31 O 0.8568 0.8625 0.0899 1
O32 O 0.8594 0.3623 0.5881 1
O33 O 0.9000 0.1373 0.4686 1
O34 O 0.9072 0.6396 0.9705 1
O35 O 0.9773 0.8648 0.3287 1
O36 O 0.9784 0.3655 0.8283 1



4.
# Li2MnCr2O6 PBE+U optimized geometry
# symmetry	C2/m
# V	333	Å³/cell
# spin magnetization	27.00	μB/cell
# electronic total energy	-6.9583	eV/atom
data_Li2MnCr2O6
_chemical_formula_sum 'Li6 Mn3 Cr6 O18'
_space_group_name_H-M_alt 'P 1'
_space_group_IT_number 1
_space_group_name_Hall 'P 1'
_cell_length_a 7.8412
_cell_length_b 7.8412
_cell_length_c 5.9910
_cell_angle_alpha 101.50
_cell_angle_beta 101.50
_cell_angle_gamma 68.75
loop_
_atom_site_label
_atom_site_type_symbol
_atom_site_fract_x
_atom_site_fract_y
_atom_site_fract_z
_atom_site_occupancy
Li1 Li 0.1673 0.5004 0.6730 1
Li2 Li 0.1681 0.8319 0.0000 1
Li3 Li 0.5004 0.1673 0.6730 1
Li4 Li 0.4996 0.8327 0.3270 1
Li5 Li 0.8319 0.1681 0.0000 1
Li6 Li 0.8327 0.4996 0.3270 1
Mn1 Mn 0.1653 0.8347 0.5000 1
Mn2 Mn 0.5000 0.5000 0.5000 1
Mn3 Mn 0.8347 0.1653 0.5000 1
Cr1 Cr 0.1658 0.1658 0.8330 1
Cr2 Cr 0.1678 0.4963 0.1671 1
Cr3 Cr 0.4963 0.1678 0.1671 1
Cr4 Cr 0.5037 0.8322 0.8329 1
Cr5 Cr 0.8322 0.5037 0.8329 1
Cr6 Cr 0.8342 0.8342 0.1670 1
O1 O 0.0012 0.6570 0.9403 1
O2 O 0.0063 0.0063 0.7235 1
O3 O 0.0160 0.6742 0.4012 1
O4 O 0.3225 0.3225 0.9305 1
O5 O 0.3264 0.6662 0.2825 1
O6 O 0.3258 0.9840 0.5988 1
O7 O 0.3338 0.6736 0.7175 1
O8 O 0.3430 0.9988 0.0597 1
O9 O 0.3480 0.3480 0.4116 1
O10 O 0.6520 0.6520 0.5884 1
O11 O 0.6570 0.0012 0.9403 1
O12 O 0.6662 0.3264 0.2825 1
O13 O 0.6742 0.0160 0.4012 1
O14 O 0.6736 0.3338 0.7175 1
O15 O 0.6775 0.6775 0.0695 1
O16 O 0.9840 0.3258 0.5988 1
O17 O 0.9937 0.9937 0.2765 1
O18 O 0.9988 0.3430 0.0597 1